HoTm3S6 (PBE, relaxed); formation energy from raw total energies = -2048 meV per atom; E above lowest polymorph = 0.020 eV/atom; D(E_F) = 0.0 states/eV per cell; SG = R-3, No. 148
1.0
5.667 3.272 4.504
-5.667 3.272 4.504
0.000 -6.544 4.504
Ho Tm S
2 6 12
direct
0.000 0.000 0.000 Ho
0.500 0.500 0.500 Ho
0.067 0.747 0.577 Tm
0.253 0.423 0.933 Tm
0.423 0.933 0.253 Tm
0.577 0.067 0.747 Tm
0.747 0.577 0.067 Tm
0.933 0.253 0.423 Tm
0.035 0.679 0.904 S
0.096 0.965 0.321 S
0.183 0.417 0.592 S
0.321 0.096 0.965 S
0.408 0.817 0.583 S
0.417 0.592 0.183 S
0.583 0.408 0.817 S
0.592 0.183 0.417 S
0.679 0.904 0.035 S
0.817 0.583 0.408 S
0.904 0.035 0.679 S
0.965 0.321 0.096 S